CsHg2SbPd after structural relaxation, computed with PBE.

The structure in CIF format:
```
data_CsHg2SbPd
_symmetry_space_group_name_H-M 'P 1'
_symmetry_Int_Tables_number 1
_symmetry_space_group_name_Hall 'P 1'
_cell_length_a 5.9407
_cell_length_b 5.9407
_cell_length_c 5.1632
_cell_angle_alpha 90.00
_cell_angle_beta 90.00
_cell_angle_gamma 90.00
loop_
_atom_site_label
_atom_site_type_symbol
_atom_site_fract_x
_atom_site_fract_y
_atom_site_fract_z
Pd1 Pd 0.0000 0.0000 0.5000
Sb1 Sb 0.0000 0.0000 0.0000
Hg1 Hg 0.0000 0.5000 0.0000
Cs1 Cs 0.5000 0.5000 0.5000
Hg2 Hg 0.5000 0.0000 0.0000
```

Summary:
E_tot (eV per atom): -2.2850
E_form (uncorrected) (eV per atom): -0.13
V (Å³/atom): 36.4